Hg2TeAs after structural relaxation. Source: Alexandria via LeMat-Bulk, functional PBE.

Output
* energy relative to the lowest polymorph listed for this composition: 209.8 meV/atom
* volume: 102 Å³/f.u.
* E_tot: -1.811 eV/atom

Cell lengths 3.094, 3.094, 10.989 Å; angles 90.00, 90.00, 104.32 degrees
Fractional positions:
As (0.500, 0.500, 0.750)
Te (0.500, 0.500, 0.250)
Hg (0.000, 0.000, 0.973)
Hg (0.000, 0.000, 0.527)